# CuSbW2 (PBE-GGA, relaxed)
data_CuSbW2
_chemical_formula_sum 'Cu1 Sb1 W2'
_cell_length_a 3.374
_cell_length_b 3.374
_cell_length_c 5.844
_cell_angle_alpha 90.00
_cell_angle_beta 90.00
_cell_angle_gamma 90.00
_space_group_name_H-M_alt 'P 1'
_space_group_IT_number 1
loop_
_space_group_symop_operation_xyz
'x,y,z'
loop_
_atom_site_label
_atom_site_fract_x
_atom_site_fract_y
_atom_site_fract_z
Cu1 0.000 0.000 0.487
W1 0.500 0.500 0.252
Sb1 0.500 0.500 0.736
W2 0.000 0.000 0.025
# * space-group type: P4mm
# * formation energy without anion corrections: 1.5 eV per formula unit
# * DOS(E_F): 2.606 states/eV/f.u.
# * M_tot: 0.0 μB/f.u.